This record from Alexandria via LeMat-Bulk describes a relaxed structure of BaFeN2F. The functional is GGA+U.

## Properties
DOS at the Fermi energy   5.9 states/eV/cell
Relative energy among the computed polymorphs   2185 meV per atom

Cell: 4.7339 4.7339 4.5517 Å, 90.00 90.00 90.00°
Space group P4/mmm (No. 123)
One atom of each set of equivalent atoms:
Ba  0.0000  0.0000  0.0000 [1 per cell]
Fe  0.5000  0.5000  0.0000 [1 per cell]
N  0.0000  0.5000  0.5000 [2 per cell]
F  0.0000  0.0000  0.5000 [1 per cell]